Record 1
Density functional theory data (GGA-PBEsol) for AlOsCl2 after structural relaxation.

## Properties
Energy (eV per cell): -33.49
Excess energy over the best structure of this formula in the dataset (meV per atom): 953.4
Calculated volume (Å³/atom): 15.6
Energy relative to the elements, uncorrected (meV/atom): 894

Lattice parameters (Å, degrees): 6.2191 6.7714 2.9570 90.00 90.00 90.00
Positions (direct):
Al1 0.0000 0.0000 0.0000
Al2 0.5000 0.5000 0.0000
Os1 0.0000 0.5000 0.0000
Os2 0.5000 0.0000 0.0000
Cl1 0.2500 0.2500 0.5000
Cl2 0.2500 0.7500 0.5000
Cl3 0.7500 0.2500 0.5000
Cl4 0.7500 0.7500 0.5000


Record 2
Density functional theory data (GGA-PBEsol) for AlOsCl2 after structural relaxation.

## Properties
Energy (eV per cell): -41.12
Excess energy over the best structure of this formula in the dataset (meV per atom): 0.0
Calculated volume (Å³/atom): 18.2
Energy relative to the elements, uncorrected (meV/atom): -59

Lattice parameters (Å, degrees): 2.9659 5.5736 8.8293 90.00 90.00 90.00
Positions (direct):
Al1 0.0000 0.0000 0.0000
Al2 0.5000 0.5000 0.0000
Os1 0.0000 0.5000 0.7757
Os2 0.5000 0.0000 0.7757
Cl1 0.0000 0.0000 0.5676
Cl2 0.0000 0.5000 0.2022
Cl3 0.5000 0.0000 0.2022
Cl4 0.5000 0.5000 0.5676


Record 3
Density functional theory data (GGA-PBEsol) for AlOsCl2 after structural relaxation.

## Properties
Energy (eV per cell): -66.59
Excess energy over the best structure of this formula in the dataset (meV per atom): 977.8
Calculated volume (Å³/atom): 15.2
Energy relative to the elements, uncorrected (meV/atom): 919

Lattice parameters (Å, degrees): 6.2443 6.2443 6.2443 90.00 90.00 90.00
Positions (direct):
Al1 0.0000 0.0000 0.0000
Al2 0.0000 0.5000 0.5000
Al3 0.5000 0.0000 0.5000
Al4 0.5000 0.5000 0.0000
Os1 0.0000 0.0000 0.5000
Os2 0.0000 0.5000 0.0000
Os3 0.5000 0.0000 0.0000
Os4 0.5000 0.5000 0.5000
Cl1 0.2500 0.2500 0.2500
Cl2 0.2500 0.2500 0.7500
Cl3 0.2500 0.7500 0.2500
Cl4 0.2500 0.7500 0.7500
Cl5 0.7500 0.2500 0.2500
Cl6 0.7500 0.2500 0.7500
Cl7 0.7500 0.7500 0.2500
Cl8 0.7500 0.7500 0.7500


Record 4
Density functional theory data (GGA-PBEsol) for AlPOsCl2 after structural relaxation.

## Properties
Energy (eV per cell): -21.70
Calculated volume (Å³/atom): 19.2
Energy relative to the elements, uncorrected (meV/atom): 883

Lattice parameters (Å, degrees): 4.3602 4.3602 5.0393 90.00 90.00 90.00
Positions (direct):
Al1 0.0000 0.0000 0.0000
P1 0.0000 0.0000 0.5000
Os1 0.5000 0.5000 0.5000
Cl1 0.0000 0.5000 0.0000
Cl2 0.5000 0.0000 0.0000


Record 5
Density functional theory data (GGA-PBEsol) for AlPCl6 after structural relaxation.

## Properties
Energy (eV per cell): -60.36
Calculated volume (Å³/atom): 31.3
Energy relative to the elements, uncorrected (meV/atom): -1031

Lattice parameters (Å, degrees): 6.2924 12.0377 6.6561 90.00 96.67 90.00
Positions (direct):
Al1 0.1299 0.0000 0.0549
Al2 0.8701 0.5000 0.9451
P1 0.4838 0.6913 0.7296
P2 0.5162 0.1913 0.2704
Cl1 0.1894 0.4932 0.8758
Cl2 0.2090 0.1334 0.8712
Cl3 0.2373 0.8403 0.9748
Cl4 0.2725 0.6924 0.4744
Cl5 0.3056 0.3082 0.3421
Cl6 0.3287 0.0390 0.3590
Cl7 0.6713 0.5390 0.6410
Cl8 0.6944 0.8082 0.6579
Cl9 0.7275 0.1924 0.5256
Cl10 0.7627 0.3403 0.0252
Cl11 0.7910 0.6334 0.1288
Cl12 0.8106 0.9932 0.1242


Record 6
Density functional theory data (GGA-PBEsol) for AlPCl after structural relaxation.

## Properties
Energy (eV per cell): -13.30
Calculated volume (Å³/atom): 19.9
Energy relative to the elements, uncorrected (meV/atom): -469

Lattice parameters (Å, degrees): 3.2580 3.2580 6.4861 90.00 90.00 120.00
Positions (direct):
Al1 0.0000 0.0000 0.0000
P1 0.6667 0.3333 0.2340
Cl1 0.3333 0.6667 0.7529


What is the energy relative to the elements, uncorrected in the fifth record?
-1031 meV/atom


Look up the calculated volume of the third one.
15.2 Å³/atom


Please write out number 6 again, unchanged.
Density functional theory data (GGA-PBEsol) for AlPCl after structural relaxation.

## Properties
Energy (eV per cell): -13.30
Calculated volume (Å³/atom): 19.9
Energy relative to the elements, uncorrected (meV/atom): -469

Lattice parameters (Å, degrees): 3.2580 3.2580 6.4861 90.00 90.00 120.00
Positions (direct):
Al1 0.0000 0.0000 0.0000
P1 0.6667 0.3333 0.2340
Cl1 0.3333 0.6667 0.7529